w.
Crystalline Nd6Ho3Tm at its relaxed geometry. Source: Alexandria, functional GGA-PBE.

It has space group P2_1/c (No. 14), with a = 5.485 Å, b = 10.329 Å, c = 12.474 Å, α = 90.00°, β = 100.30° and γ = 90.00°. The asymmetric unit holds Nd at (0.007, 0.186, 0.005), Nd at (0.102, 0.005, 0.770), Nd at (0.424, 0.171, 0.356), Ho at (0.425, 0.667, 0.865), Ho at (0.500, 0.000, 0.000) and Tm at (0.000, 0.000, 0.500).

The density of states at the Fermi level is 1.49 states/eV/atom. The value obtained for the size of the total moment is 0.00 μB/f.u.


x.
Crystalline Nd6Ho3Tm at its relaxed geometry. Source: Alexandria, functional GGA-PBE.

It has space group Cmc2_1 (No. 36), with a = 10.966 Å, b = 19.360 Å, c = 6.367 Å, α = 90.00°, β = 90.00° and γ = 90.00°. The asymmetric unit holds Nd at (0.000, 0.036, 0.000), Nd at (0.000, 0.280, 0.238), Nd at (0.170, 0.456, 0.347), Nd at (0.228, 0.288, 0.541), Ho at (0.000, 0.387, 0.814), Ho at (0.167, 0.114, 0.422) and Tm at (0.000, 0.194, 0.782).

The density of states at the Fermi level is 1.39 states/eV/atom. The value obtained for the size of the total moment is 0.00 μB/f.u.


Sorted by energy, starting with the most stable: x, w.


w.
Crystalline Nd3Ho2Tm5 at its relaxed geometry. Source: Alexandria, functional GGA-PBE.

It has space group C2/c (No. 15), with a = 10.597 Å, b = 15.915 Å, c = 9.360 Å, α = 90.00°, β = 124.35° and γ = 90.00°. The asymmetric unit holds Nd at (0.000, 0.235, 0.250), Nd at (0.146, 0.124, 0.046), Ho at (0.150, 0.384, 0.548), Tm at (0.000, 0.027, 0.250), Tm at (0.000, 0.272, 0.750), Tm at (0.000, 0.471, 0.750) and Tm at (0.242, 0.390, 0.235).

The density of states at the Fermi level is 1.69 states/eV/atom. The value obtained for the size of the total moment is 0.00 μB/f.u.


x.
Crystalline Nd3Ho2Tm5 at its relaxed geometry. Source: Alexandria, functional GGA-PBE.

It has space group Ibam (No. 72), with a = 12.849 Å, b = 16.818 Å, c = 6.277 Å, α = 90.00°, β = 90.00° and γ = 90.00°. The asymmetric unit holds Nd at (0.000, 0.000, 0.250), Nd at (0.158, 0.245, 0.000), Ho at (0.104, 0.156, 0.500), Tm at (0.000, 0.500, 0.250), Tm at (0.098, 0.345, 0.500) and Tm at (0.246, 0.500, 0.250).

The density of states at the Fermi level is 1.66 states/eV/atom. The value obtained for the size of the total moment is 0.00 μB/f.u.


Sorted by energy, starting with the most stable: w, x.


w.
Crystalline NdHo5Tm2 at its relaxed geometry. Source: Alexandria, functional GGA-PBE.

It has space group Cmcm (No. 63), with a = 5.605 Å, b = 16.224 Å, c = 11.388 Å, α = 90.00°, β = 90.00° and γ = 90.00°. The asymmetric unit holds Nd at (0.000, 0.227, 0.250), Ho at (0.000, 0.044, 0.112), Ho at (0.000, 0.396, 0.750), Ho at (0.000, 0.413, 0.078) and Tm at (0.000, 0.213, 0.579).

The density of states at the Fermi level is 1.53 states/eV/atom. The value obtained for the size of the total moment is 0.00 μB/f.u.


x.
Crystalline NdHo5Tm2 at its relaxed geometry. Source: Alexandria, functional GGA-PBE.

It has space group Pbam (No. 55), with a = 7.071 Å, b = 14.147 Å, c = 4.986 Å, α = 90.00°, β = 90.00° and γ = 90.00°. The asymmetric unit holds Nd at (0.000, 0.000, 0.000), Ho at (0.000, 0.500, 0.000), Ho at (0.001, 0.251, 0.000), Ho at (0.248, 0.626, 0.500) and Tm at (0.250, 0.374, 0.500).

The density of states at the Fermi level is 1.20 states/eV/atom. The value obtained for the size of the total moment is 0.00 μB/f.u.


Sorted by energy, starting with the most stable: x, w.


w.
Crystalline NdHo8Tm6 at its relaxed geometry. Source: Alexandria, functional GGA-PBE.

It has space group R-3 (No. 148, hexagonal axes), with a = 8.9380 Å, b = 8.9380 Å, c = 20.4291 Å, α = 90.00°, β = 90.00° and γ = 120.00°. The asymmetric unit holds Nd at (0.0000, 0.0000, 0.0000), Ho at (0.0000, 0.0000, 0.4235), Ho at (0.0811, 0.5278, 0.8085) and Tm at (0.0588, 0.8142, 0.7069).

The density of states at the Fermi level is 1.52 states/eV/atom. The value obtained for the size of the total moment is 0.00 μB/f.u.


x.
Crystalline NdHo8Tm6 at its relaxed geometry. Source: Alexandria, functional GGA-PBE.

It has space group P-3 (No. 147), with a = 9.3393 Å, b = 9.3393 Å, c = 6.4384 Å, α = 90.00°, β = 90.00° and γ = 120.00°. The asymmetric unit holds Nd at (0.0000, 0.0000, 0.0000), Ho at (0.0255, 0.6865, 0.4054), Ho at (0.3333, 0.6667, 0.6715) and Tm at (0.0967, 0.4165, 0.0908).

The density of states at the Fermi level is 1.43 states/eV/atom. The value obtained for the size of the total moment is 0.00 μB/f.u.


Sorted by energy, starting with the most stable: w, x.


w.
Crystalline NdHo12Tm7 at its relaxed geometry. Source: Alexandria, functional GGA-PBE.

It has space group R-3 (No. 148, hexagonal axes), with a = 11.8755 Å, b = 11.8755 Å, c = 15.7885 Å, α = 90.00°, β = 90.00° and γ = 120.00°. The asymmetric unit holds Nd at (0.0000, 0.0000, 0.0000), Ho at (0.0213, 0.4505, 0.2186), Ho at (0.0522, 0.1896, 0.2937), Tm at (0.0000, 0.0000, 0.5000) and Tm at (0.0473, 0.5863, 0.5836).

The density of states at the Fermi level is 1.71 states/eV/atom. The value obtained for the size of the total moment is 0.00 μB/f.u.


x.
Crystalline NdHo12Tm7 at its relaxed geometry. Source: Alexandria, functional GGA-PBE.

It has space group Im-3m (No. 229), with a = 11.244 Å, b = 11.244 Å, c = 11.244 Å, α = 90.00°, β = 90.00° and γ = 90.00°. The asymmetric unit holds Nd at (0.000, 0.000, 0.000), Ho at (0.000, 0.259, 0.259), Tm at (0.000, 0.000, 0.500) and Tm at (0.250, 0.250, 0.250).

The density of states at the Fermi level is 1.23 states/eV/atom. The value obtained for the size of the total moment is 0.00 μB/f.u.


Sorted by energy, starting with the most stable: w, x.


w.
Crystalline Nd4Ho8Tm3 at its relaxed geometry. Source: Alexandria, functional GGA-PBE.

It has space group R-3m (No. 166, hexagonal axes), with a = 6.9258 Å, b = 6.9258 Å, c = 35.3769 Å, α = 90.00°, β = 90.00° and γ = 120.00°. The asymmetric unit holds Nd at (0.0000, 0.0000, 0.0000), Nd at (0.0000, 0.0000, 0.1636), Nd at (0.0000, 0.0000, 0.5000), Ho at (0.0000, 0.0000, 0.2558), Ho at (0.0020, 0.5010, 0.2515) and Tm at (0.0000, 0.5000, 0.0000).

The density of states at the Fermi level is 1.47 states/eV/atom. The value obtained for the size of the total moment is 0.00 μB/f.u.


x.
Crystalline Nd4Ho8Tm3 at its relaxed geometry. Source: Alexandria, functional GGA-PBE.

It has space group C2/m (No. 12), with a = 13.368 Å, b = 12.822 Å, c = 6.728 Å, α = 90.00°, β = 119.94° and γ = 90.00°. The asymmetric unit holds Nd at (0.000, 0.000, 0.000), Nd at (0.000, 0.000, 0.500), Nd at (0.250, 0.250, 0.000), Ho at (0.000, 0.255, 0.000), Ho at (0.000, 0.363, 0.500), Ho at (0.228, 0.500, 0.960), Ho at (0.233, 0.500, 0.485), Tm at (0.000, 0.500, 0.000) and Tm at (0.250, 0.250, 0.500).

The density of states at the Fermi level is 1.97 states/eV/atom. The value obtained for the size of the total moment is 0.02 μB/f.u.


Sorted by energy, starting with the most stable: w, x.


w.
Crystalline Nd7Ho2Tm3 at its relaxed geometry. Source: Alexandria, functional GGA-PBE.

It has space group P2/m (No. 10), with a = 6.293 Å, b = 5.506 Å, c = 12.277 Å, α = 90.00°, β = 90.01° and γ = 90.00°. The asymmetric unit holds Nd at (0.000, 0.000, 0.000), Nd at (0.091, 0.500, 0.828), Nd at (0.245, 0.500, 0.544), Nd at (0.444, 0.000, 0.816), Ho at (0.385, 0.500, 0.276), Tm at (0.066, 0.000, 0.344) and Tm at (0.500, 0.500, 0.000).

The density of states at the Fermi level is 1.53 states/eV/atom. The value obtained for the size of the total moment is 0.00 μB/f.u.


x.
Crystalline Nd7Ho2Tm3 at its relaxed geometry. Source: Alexandria, functional GGA-PBE.

It has space group Cmmm (No. 65), with a = 5.790 Å, b = 38.161 Å, c = 3.629 Å, α = 90.00°, β = 90.00° and γ = 90.00°. The asymmetric unit holds Nd at (0.000, 0.000, 0.000), Nd at (0.000, 0.073, 0.500), Nd at (0.000, 0.233, 0.000), Nd at (0.000, 0.407, 0.000), Ho at (0.000, 0.149, 0.000), Tm at (0.000, 0.315, 0.500) and Tm at (0.000, 0.500, 0.500).

The density of states at the Fermi level is 1.61 states/eV/atom. The value obtained for the size of the total moment is 0.00 μB/f.u.


Sorted by energy, starting with the most stable: x, w.


w.
Crystalline Nd2Ho3Tm2 at its relaxed geometry. Source: Alexandria, functional GGA-PBE.

It has space group P-1 (No. 2), with a = 3.563 Å, b = 6.138 Å, c = 10.679 Å, α = 84.64°, β = 89.98° and γ = 73.16°. The asymmetric unit holds Nd at (0.215, 0.070, 0.354), Ho at (0.357, 0.784, 0.931), Ho at (0.500, 0.500, 0.500) and Tm at (0.070, 0.359, 0.789).

The density of states at the Fermi level is 1.29 states/eV/atom. The value obtained for the size of the total moment is 0.00 μB/f.u.


x.
Crystalline Nd2Ho3Tm2 at its relaxed geometry. Source: Alexandria, functional GGA-PBE.

It has space group C2/m (No. 12), with a = 17.468 Å, b = 3.499 Å, c = 8.506 Å, α = 90.00°, β = 119.00° and γ = 90.00°. The asymmetric unit holds Nd at (0.067, 0.000, 0.220), Ho at (0.000, 0.500, 0.500), Ho at (0.211, 0.500, 0.625) and Tm at (0.151, 0.500, 0.966).

The density of states at the Fermi level is 1.52 states/eV/atom. The value obtained for the size of the total moment is 0.00 μB/f.u.


Sorted by energy, starting with the most stable: w, x.